This record from the Alexandria database describes a relaxed structure of Ca3Ac3Zn4. The functional is PBE.

Structure (POSCAR):
```
Ca3Ac3Zn4
1.0
4.119 0.000 0.000
0.000 6.142 6.206
0.000 -6.142 6.206
Ca Ac Zn
3 3 4
Direct
0.000 0.000 0.000
0.500 0.327 0.832
0.500 0.832 0.327
0.000 0.163 0.495
0.000 0.495 0.163
0.000 0.674 0.674
0.500 0.197 0.197
0.500 0.464 0.464
0.500 0.718 0.964
0.500 0.964 0.718
```

Results
* DOS(E_F): 12.22 states/eV/f.u.
* total moment: 0.000 μB/cell
* uncorrected energy: -2.5266 eV per atom
* formation energy from the elements: -0.18 eV/atom